! LaSbW2 GGA-PBE optimized geometry; values from VASP
&SYSTEM
  ibrav = 0, nat = 8, ntyp = 3
/
ATOMIC_SPECIES
La 138.91 La.upf
Sb 121.76 Sb.upf
W 183.84 W.upf
CELL_PARAMETERS angstrom
3.4023 0.0000 0.0000
0.0000 5.0214 0.0000
0.0000 0.0000 10.5067
ATOMIC_POSITIONS angstrom
La 0.0000 0.0000 0.0000
La 1.7011 2.5107 5.2534
Sb 0.0000 2.5107 8.2446
Sb 1.7011 0.0000 2.9913
W 0.0000 0.0000 5.5817
W 0.0000 2.5107 2.2372
W 1.7011 0.0000 7.4906
W 1.7011 2.5107 0.3283
! Space-group type: Imm2
! Raw formation energy (eV per atom): 0.52

! Sc8B8As3Rh20 GGA-PBE optimized geometry; values from VASP
&SYSTEM
  ibrav = 0, nat = 39, ntyp = 4
/
ATOMIC_SPECIES
Sc 44.96 Sc.upf
B 10.81 B.upf
As 74.92 As.upf
Rh 102.91 Rh.upf
CELL_PARAMETERS angstrom
9.2013 0.0000 0.0000
0.0000 3.1556 0.0000
-0.0054 0.0000 18.3592
ATOMIC_POSITIONS angstrom
Sc 1.5667 0.0000 1.5963
Sc 1.6128 0.0000 10.7907
Sc 2.9891 0.0000 6.1317
Sc 3.0184 0.0000 15.4367
Sc 6.1775 0.0000 2.9225
Sc 6.2067 0.0000 12.2275
Sc 7.5830 0.0000 7.5685
Sc 7.6292 0.0000 16.7629
B 1.1420 0.0000 8.0213
B 1.2960 0.0000 17.3120
B 3.4592 0.0000 12.6683
B 3.5258 0.0000 3.2470
B 5.6701 0.0000 15.1122
B 5.7367 0.0000 5.6909
B 7.8999 0.0000 1.0472
B 8.0538 0.0000 10.3379
As 0.0129 0.0000 4.5224
As 4.5979 0.0000 9.1796
As 9.1829 0.0000 13.8369
Rh 0.0000 1.5778 0.0000
Rh -0.0027 1.5778 9.1796
Rh 0.6570 1.5778 6.5593
Rh 0.6967 1.5778 15.7706
Rh 1.9771 1.5778 13.1133
Rh 2.0027 1.5778 3.8928
Rh 2.6087 1.5778 8.5057
Rh 2.6856 1.5778 17.7681
Rh 3.9444 1.5778 11.1772
Rh 3.9610 1.5778 1.8718
Rh 4.5883 1.5778 13.8087
Rh 4.6076 1.5778 4.5506
Rh 5.2349 1.5778 16.4874
Rh 5.2515 1.5778 7.1820
Rh 6.5102 1.5778 0.5911
Rh 6.5872 1.5778 9.8535
Rh 7.1932 1.5778 14.4664
Rh 7.2188 1.5778 5.2459
Rh 8.4992 1.5778 2.5886
Rh 8.5389 1.5778 11.7999
! ΔE_f (eV per formula unit): -30.93
! Space-group type: P2/m